--- w ---
LaCr2W | SCAN | PBEsol geometry

Cell: 2.8020 5.0896 5.0896 Å, 108.29 103.19 103.19°
With the nearest neighbours (Å) after each atom.
Atoms (fractional coordinates):
Cr (0.0000, 0.5000, 0.0000)  2 La 2.61, 2 W 2.61, 2 Cr 2.80
Cr (0.0000, 0.0000, 0.5000)  2 W 2.61, 2 La 2.61, 2 Cr 2.80
La (0.5000, 0.0000, 0.0000)  4 Cr 2.61, 2 La 2.80
W (0.5000, 0.5000, 0.5000)  4 Cr 2.61, 2 W 2.80

Properties
* DOS(E_F): 4.510 states/eV/f.u.
* calculated volume: 63 Å³/f.u.

***

--- x ---
LaCr2W | SCAN | PBEsol geometry

Cell: 2.9992 2.9992 8.9364 Å, 80.34 80.34 60.00°
With the nearest neighbours (Å) after each atom.
Atoms (fractional coordinates):
Cr (0.2646, 0.2646, 0.2063)  3 W 2.50
Cr (0.7354, 0.7354, 0.7937)  3 W 2.50
La (0.5000, 0.5000, 0.5000)  6 La 3.00, 6 Cr 3.10
W (0.0000, 0.0000, 0.0000)  6 Cr 2.50

Properties
* DOS(E_F): 4.185 states/eV/f.u.
* calculated volume: 68 Å³/f.u.

***

Energetically preferred structure: x | next structure: +217 meV per atom